(a)
Here is a geometry-optimized PmCu2Pd structure from Alexandria via LeMat-Bulk. Energies are from GGA-PBE.

```
data_PmCu2Pd
_cell_length_a 4.2922
_cell_length_b 7.2981
_cell_length_c 5.3658
_cell_angle_alpha 90.00
_cell_angle_beta 113.56
_cell_angle_gamma 90.00
_space_group_name_H-M_alt 'P 1 21/m 1'
_space_group_IT_number 11
loop_
_space_group_symop_operation_xyz
'x,y,z'
'-x,-y,-z'
'-x,y+1/2,-z'
'x,-y+1/2,z'
loop_
_atom_site_label
_atom_site_fract_x
_atom_site_fract_y
_atom_site_fract_z
Pm1 0.0571 0.2500 0.1118
Cu1 0.2450 0.5814 0.4905
Pd1 0.3558 0.2500 0.7109
```



(b)
Here is a geometry-optimized PmCu2Pd structure from Alexandria via LeMat-Bulk. Energies are from GGA-PBE.

```
data_PmCu2Pd
_cell_length_a 6.5830
_cell_length_b 6.5830
_cell_length_c 6.5830
_cell_angle_alpha 90.00
_cell_angle_beta 90.00
_cell_angle_gamma 90.00
_space_group_name_H-M_alt 'F m -3 m'
_space_group_IT_number 225
_space_group_name_Hall '-F 4 2 3'
loop_
_atom_site_label
_atom_site_fract_x
_atom_site_fract_y
_atom_site_fract_z
Pm1 0.0000 0.0000 0.0000
Cu1 0.2500 0.2500 0.2500
Pd1 0.0000 0.0000 0.5000
```



(c)
Here is a geometry-optimized PmCu2Pd structure from Alexandria via LeMat-Bulk. Energies are from GGA-PBE.

```
data_PmCu2Pd
_cell_length_a 4.3992
_cell_length_b 9.8666
_cell_length_c 6.6422
_cell_angle_alpha 90.00
_cell_angle_beta 90.00
_cell_angle_gamma 90.00
_space_group_name_H-M_alt 'C m c m'
_space_group_IT_number 63
_space_group_name_Hall '-C 2c 2'
loop_
_atom_site_label
_atom_site_fract_x
_atom_site_fract_y
_atom_site_fract_z
Pm1 0.0000 0.0895 0.2500
Cu1 0.0000 0.3794 0.0627
Pd1 0.0000 0.2047 0.7500
```



(d)
Here is a geometry-optimized PmCu2Pd structure from Alexandria via LeMat-Bulk. Energies are from GGA-PBE.

```
data_PmCu2Pd
_cell_length_a 4.3480
_cell_length_b 4.3480
_cell_length_c 13.7712
_cell_angle_alpha 90.00
_cell_angle_beta 90.00
_cell_angle_gamma 120.00
_space_group_name_H-M_alt 'R -3 m'
_space_group_IT_number 166
_space_group_name_Hall '-R 3 2"'
loop_
_atom_site_label
_atom_site_fract_x
_atom_site_fract_y
_atom_site_fract_z
Pm1 0.0000 0.0000 0.0000
Cu1 0.0000 0.0000 0.2081
Pd1 0.0000 0.0000 0.5000
```



Stability summary - winner: (c); margin: 85 meV per atom.



(a)
Here is a geometry-optimized Pm3CuPd3 structure from Alexandria via LeMat-Bulk. Energies are from GGA-PBE.

```
data_Pm3CuPd3
_cell_length_a 8.5956
_cell_length_b 8.5956
_cell_length_c 5.7553
_cell_angle_alpha 90.00
_cell_angle_beta 90.00
_cell_angle_gamma 120.00
_space_group_name_H-M_alt 'P 63/m'
_space_group_IT_number 176
_space_group_name_Hall '-P 6c'
loop_
_atom_site_label
_atom_site_fract_x
_atom_site_fract_y
_atom_site_fract_z
Pm1 0.0576 0.6750 0.2500
Cu1 0.3333 0.6667 0.7500
Pd1 0.0512 0.7056 0.7500
```



(b)
Here is a geometry-optimized Pm3CuPd3 structure from Alexandria via LeMat-Bulk. Energies are from GGA-PBE.

```
data_Pm3CuPd3
_cell_length_a 3.8795
_cell_length_b 4.3115
_cell_length_c 19.2183
_cell_angle_alpha 90.00
_cell_angle_beta 90.00
_cell_angle_gamma 90.00
_space_group_name_H-M_alt 'I m m 2'
_space_group_IT_number 44
loop_
_space_group_symop_operation_xyz
'x,y,z'
'-x,-y,z'
'-x,y,z'
'x,-y,z'
'x+1/2,y+1/2,z+1/2'
'-x+1/2,-y+1/2,z+1/2'
'-x+1/2,y+1/2,z+1/2'
'x+1/2,-y+1/2,z+1/2'
loop_
_atom_site_label
_atom_site_fract_x
_atom_site_fract_y
_atom_site_fract_z
Pm1 0.0000 0.0000 0.0000
Pm2 0.0000 0.0000 0.3681
Pm3 0.0000 0.5000 0.1820
Cu1 0.0000 0.5000 0.7504
Pd1 0.0000 0.0000 0.5276
Pd2 0.0000 0.0000 0.8306
Pd3 0.0000 0.5000 0.6203
```



Stability summary - winner: (b); margin: 249 meV per atom.